Material: InNiPtO4
Method: DFT, PBE+U
State: relaxed

Summary:
E, eV per atom: -5.27

Lattice parameters (Å, degrees): 6.690 6.229 6.351 120.65 90.00 122.48
Element x y z (fractional)
Ni  0.105  0.210  0.855
O  0.728  0.004  0.252
O  0.272  0.996  0.748
Ni  0.895  0.790  0.145
Pt  0.000  0.500  0.500
In  0.500  0.000  0.500
Pt  0.500  0.500  0.500
In  0.500  0.000  0.000
O  0.724  0.996  0.748
O  0.276  0.004  0.252
O  0.237  0.473  0.262
O  0.763  0.527  0.289
O  0.237  0.473  0.711
O  0.763  0.527  0.738